[1]
{"formula": "Hf6In3Sn", "functional": "PBE-GGA", "state": "optimized geometry", "lattice_angstrom": [[-3.614, 3.324, -4.923], [0.089, -7.266, -4.971], [-6.615, 1.220, 5.680]], "species": ["In", "Hf", "Hf", "In", "Hf", "Sn", "Hf", "Sn", "In", "In", "In", "Hf", "Hf", "Hf", "Hf", "In", "Hf", "Hf", "Hf", "Hf"], "fractional_positions": [[0.000, 0.698, 0.895], [0.325, 0.963, 0.424], [0.817, 0.041, 0.959], [0.500, 0.302, 0.105], [0.586, 0.610, 0.770], [0.144, 0.157, 0.843], [0.317, 0.959, 0.041], [0.644, 0.843, 0.157], [0.709, 0.588, 0.412], [0.500, 0.895, 0.698], [0.209, 0.412, 0.588], [0.325, 0.576, 0.037], [0.825, 0.037, 0.576], [0.825, 0.424, 0.963], [0.586, 0.230, 0.390], [0.000, 0.105, 0.302], [0.086, 0.770, 0.610], [0.995, 0.737, 0.263], [0.086, 0.390, 0.230], [0.495, 0.263, 0.737]], "crystal_system": "orthorhombic", "ef_mev_per_atom": 3}



[2]
{"formula": "Hf6Bi2B", "functional": "PBE-GGA", "state": "optimized geometry", "lattice_angstrom": [[5.926, 0.000, 0.178], [0.000, 6.910, 0.000], [-0.526, 0.000, 9.486]], "species": ["Hf", "Hf", "Hf", "Bi", "Hf", "Hf", "Hf", "B", "Hf", "Bi", "Hf", "B", "Hf", "Hf", "Bi", "Bi", "Hf", "Hf"], "fractional_positions": [[0.867, 0.975, 0.259], [0.658, 0.192, 0.523], [0.633, 0.475, 0.241], [0.391, 0.097, 0.254], [0.655, 0.187, 0.980], [0.155, 0.313, 0.480], [0.133, 0.025, 0.741], [0.500, 0.500, 0.000], [0.842, 0.692, 0.977], [0.891, 0.403, 0.754], [0.158, 0.308, 0.023], [0.000, 0.000, 0.500], [0.367, 0.525, 0.759], [0.345, 0.813, 0.020], [0.109, 0.597, 0.246], [0.609, 0.903, 0.746], [0.845, 0.687, 0.520], [0.342, 0.808, 0.477]], "crystal_system": "monoclinic", "ef_mev_per_atom": -130}



[3]
{"formula": "TiBi2Pd", "functional": "PBE-GGA", "state": "optimized geometry", "lattice_angstrom": [[0.000, 3.537, 3.537], [3.537, 0.000, 3.537], [3.537, 3.537, 0.000]], "species": ["Ti", "Bi", "Bi", "Pd"], "fractional_positions": [[0.000, 0.000, 0.000], [0.750, 0.750, 0.750], [0.250, 0.250, 0.250], [0.500, 0.500, 0.500]], "crystal_system": "cubic", "ef_mev_per_atom": 3}



[4]
{"formula": "CsK2HgF5", "functional": "PBE-GGA", "state": "optimized geometry", "lattice_angstrom": [[-0.530, 6.452, -3.871], [3.807, -3.117, -5.716], [-7.401, -3.759, 2.097]], "species": ["Hg", "Cs", "F", "Hg", "K", "F", "F", "K", "Cs", "F", "K", "K", "F", "F", "F", "F", "F", "F"], "fractional_positions": [[0.750, 0.250, 0.500], [0.250, 0.250, 0.500], [0.782, 0.988, 0.271], [0.250, 0.750, 0.500], [0.324, 0.824, 0.000], [0.488, 0.282, 0.271], [0.012, 0.512, 0.729], [0.176, 0.324, 0.000], [0.750, 0.750, 0.500], [0.000, 0.000, 0.000], [0.824, 0.676, 0.000], [0.676, 0.176, 0.000], [0.718, 0.218, 0.729], [0.218, 0.012, 0.729], [0.988, 0.488, 0.271], [0.512, 0.718, 0.729], [0.282, 0.782, 0.271], [0.500, 0.500, 0.000]], "formation_energy_uncorrected_ev_per_atom": -2.27, "crystal_system": "tetragonal"}



[5]
{"formula": "TbSm4Ru2", "functional": "PBE-GGA", "state": "optimized geometry", "lattice_angstrom": [[6.498, 0.000, 0.000], [0.000, 7.332, -3.021], [0.000, -0.033, 7.941]], "species": ["Sm", "Ru", "Tb", "Sm", "Sm", "Sm", "Sm", "Sm", "Ru", "Tb", "Ru", "Sm", "Ru", "Sm"], "fractional_positions": [[0.250, 0.241, 0.321], [0.750, 0.745, 0.017], [0.750, 0.164, 0.030], [0.498, 0.587, 0.242], [0.750, 0.759, 0.679], [0.250, 0.979, 0.625], [0.750, 0.021, 0.375], [0.502, 0.413, 0.758], [0.250, 0.627, 0.592], [0.250, 0.836, 0.970], [0.250, 0.255, 0.983], [0.002, 0.587, 0.242], [0.750, 0.373, 0.408], [0.998, 0.413, 0.758]], "crystal_system": "monoclinic", "ef_mev_per_atom": -158}



[6]
{"formula": "DyHo3Sc6", "functional": "PBE-GGA", "state": "optimized geometry", "lattice_angstrom": [[-6.391, -6.197, -2.455], [2.235, -6.939, -5.667], [-0.464, -6.504, 0.258]], "species": ["Sc", "Sc", "Dy", "Sc", "Ho", "Sc", "Sc", "Sc", "Ho", "Ho"], "fractional_positions": [[0.236, 0.906, 0.290], [0.569, 0.236, 0.290], [0.896, 0.896, 0.311], [0.069, 0.406, 0.789], [0.644, 0.644, 0.069], [0.406, 0.736, 0.789], [0.906, 0.569, 0.290], [0.736, 0.069, 0.789], [0.144, 0.144, 0.568], [0.396, 0.396, 0.812]], "crystal_system": "trigonal", "relative_energy_mev_per_atom": 248, "ef_mev_per_atom": 405}



[7]
{"formula": "ErLuTh", "functional": "PBE-GGA", "state": "optimized geometry", "lattice_angstrom": [[-2.997, 1.250, 1.412], [0.475, -3.493, -0.340], [3.534, -0.273, 7.743]], "species": ["Th", "Lu", "Er"], "fractional_positions": [[0.000, 0.000, 0.999], [0.333, 0.667, 0.670], [0.667, 0.333, 0.331]], "crystal_system": "trigonal", "relative_energy_mev_per_atom": 0, "ef_mev_per_atom": 19}



[8]
{"formula": "CoP2", "functional": "PBE-GGA", "state": "optimized geometry", "lattice_angstrom": [[-1.303, -3.105, 1.833], [1.366, -0.892, 3.469], [-2.226, 0.395, 3.096]], "species": ["P", "Co", "P"], "fractional_positions": [[0.750, 0.750, 0.750], [0.000, 0.000, 0.000], [0.250, 0.250, 0.250]], "crystal_system": "cubic", "ef_mev_per_atom": -211}



[9]
{"formula": "PmNp2O6", "functional": "PBE-GGA", "state": "optimized geometry", "lattice_angstrom": [[-1.255, 1.417, 3.362], [2.465, -2.968, -0.043], [7.136, 5.924, 0.166]], "species": ["O", "O", "O", "O", "O", "Np", "Pm", "O", "Np"], "fractional_positions": [[0.333, 0.667, 0.421], [0.667, 0.333, 0.579], [0.000, 0.000, 0.270], [0.333, 0.667, 0.898], [0.000, 0.000, 0.730], [0.667, 0.333, 0.335], [0.000, 0.000, 0.000], [0.667, 0.333, 0.102], [0.333, 0.667, 0.665]], "formation_energy_uncorrected_ev_per_atom": -3.20, "crystal_system": "trigonal"}



[10]
{"formula": "TcHg3Pd", "functional": "PBE-GGA", "state": "optimized geometry", "lattice_angstrom": [[-1.270, -4.905, 1.095], [4.997, -1.112, 0.815], [-0.536, 1.255, 5.000]], "species": ["Hg", "Tc", "Hg", "Pd", "Hg"], "fractional_positions": [[0.000, 0.500, 0.000], [0.500, 0.500, 0.500], [0.000, 0.000, 0.500], [0.000, 0.000, 0.000], [0.500, 0.000, 0.000]], "crystal_system": "cubic", "relative_energy_mev_per_atom": 0, "ef_mev_per_atom": 992}



[11]
{"formula": "Np2NbTl2S6", "functional": "PBE-GGA", "state": "optimized geometry", "lattice_angstrom": [[-1.493, 5.513, 3.390], [-4.405, -4.961, -0.322], [5.022, -3.271, 5.291]], "species": ["S", "S", "S", "S", "Np", "Nb", "Tl", "S", "S", "Np", "Tl"], "fractional_positions": [[0.381, 0.066, 0.692], [0.246, 0.246, 0.305], [0.754, 0.754, 0.695], [0.619, 0.934, 0.308], [0.666, 0.334, 0.500], [0.000, 0.000, 0.500], [0.171, 0.829, 0.000], [0.934, 0.619, 0.308], [0.066, 0.381, 0.692], [0.334, 0.666, 0.500], [0.829, 0.171, 0.000]], "formation_energy_uncorrected_ev_per_atom": -1.00, "crystal_system": "monoclinic"}



[12]
{"formula": "ScZn2B2Ir5", "functional": "PBE-GGA", "state": "optimized geometry", "lattice_angstrom": [[-1.857, 0.643, 2.202], [-5.034, -7.985, -1.915], [5.540, -4.961, 6.121]], "species": ["Sc", "Ir", "Zn", "Ir", "Zn", "Ir", "B", "Zn", "Ir", "Ir", "Sc", "B", "Ir", "B", "B", "Ir", "Ir", "Ir", "Zn", "Ir"], "fractional_positions": [[0.000, 0.000, 0.000], [0.500, 0.000, 0.500], [0.000, 0.679, 0.179], [0.500, 0.571, 0.721], [0.000, 0.179, 0.321], [0.500, 0.221, 0.071], [0.000, 0.377, 0.123], [0.000, 0.321, 0.821], [0.500, 0.500, 0.000], [0.500, 0.929, 0.221], [0.000, 0.500, 0.500], [0.000, 0.877, 0.377], [0.500, 0.779, 0.929], [0.000, 0.623, 0.877], [0.000, 0.123, 0.623], [0.500, 0.429, 0.279], [0.500, 0.279, 0.571], [0.500, 0.071, 0.779], [0.000, 0.821, 0.679], [0.500, 0.721, 0.429]], "crystal_system": "tetragonal", "ef_mev_per_atom": -276}